1.
A plane-wave DFT calculation with PBE was carried out for a relaxed Zr2CoMo crystal.

Cell: 8.345 8.345 8.345 Å, 22.17 22.17 22.17°
Last column: magnetic moment on the atom in μB.
Atoms (fractional coordinates):
Co: 0.250 0.250 0.250  0.57
Mo: 0.750 0.750 0.750  0.11
Zr: 0.995 0.995 0.995  -0.03
Zr: 0.505 0.505 0.505  -0.03

Computed properties:
Volume in A^3/atom: 18.1
Energy of formation from the pure elements in meV per atom: 194.6
Symmetry: R-3m (166)

***

2.
A plane-wave DFT calculation with PBE was carried out for a relaxed Zr2CoMo3 crystal.

Cell: 5.337 5.337 5.337 Å, 58.58 58.58 58.58°
Atoms (fractional coordinates):
Zr: 0.127 0.127 0.127
Zr: 0.873 0.873 0.873
Co: 0.500 0.500 0.500
Mo: 0.500 0.000 0.500
Mo: 0.000 0.500 0.500
Mo: 0.500 0.500 0.000

Computed properties:
Volume in A^3/atom: 17.3
Energy of formation from the pure elements in meV per atom: -133.1
Symmetry: R-3m (166)
Energy above the lowest structure with this stoichiometry in meV per atom: 8.1

***

3.
A plane-wave DFT calculation with PBE was carried out for a relaxed Zr2CoMo crystal.

Cell: 3.393 4.943 4.195 Å, 90.00 90.00 90.00°
Atoms (fractional coordinates):
Co: 0.500 0.000 0.500
Mo: 0.000 0.500 0.500
Zr: 0.000 0.000 0.000
Zr: 0.500 0.500 0.000

Computed properties:
Volume in A^3/atom: 17.6
Energy of formation from the pure elements in meV per atom: 129.6
Symmetry: Pmmm (47)

***

4.
A plane-wave DFT calculation with PBE was carried out for a relaxed ZrCo2Mo crystal.

Cell: 4.936 4.936 4.936 Å, 135.56 135.56 64.66°
Atoms (fractional coordinates):
Co: 0.000 0.000 0.000
Co: 0.250 0.750 0.500
Mo: 0.500 0.500 0.000
Zr: 0.750 0.250 0.500

Computed properties:
Volume in A^3/atom: 14.5
Energy of formation from the pure elements in meV per atom: 117.4
Symmetry: I-4m2 (119)
Energy above the lowest structure with this stoichiometry in meV per atom: 173.8

***

5.
A plane-wave DFT calculation with PBE was carried out for a relaxed Zr2CoMo2 crystal.

Cell: 7.280 7.280 7.280 Å, 149.57 149.57 43.58°
Last column: magnetic moment on the atom in μB.
Atoms (fractional coordinates):
Zr: 0.250 0.750 0.500  0.03
Zr: 0.750 0.250 0.500  0.03
Co: 0.000 0.000 0.000  1.79
Mo: 0.581 0.581 0.000  0.07
Mo: 0.419 0.419 0.000  0.07

Computed properties:
Volume in A^3/atom: 19.7
Energy of formation from the pure elements in meV per atom: 1131.1
Symmetry: I4/mmm (139)

***

6.
A plane-wave DFT calculation with PBE was carried out for a relaxed ZrCo2Mo crystal.

Cell: 4.571 4.571 2.833 Å, 90.00 90.00 103.97°
Atoms (fractional coordinates):
Co: 0.000 0.000 0.000
Co: 0.500 0.500 0.000
Mo: 0.500 0.000 0.500
Zr: 0.000 0.500 0.500

Computed properties:
Volume in A^3/atom: 14.4
Energy of formation from the pure elements in meV per atom: 34.8
Symmetry: Cmmm (65)
Energy above the lowest structure with this stoichiometry in meV per atom: 91.2

***

7.
A plane-wave DFT calculation with PBE was carried out for a relaxed ZrCo2Mo2 crystal.

Cell: 7.338 7.338 2.750 Å, 90.00 90.00 90.00°
Atoms (fractional coordinates):
Mo: 0.169 0.669 0.500
Mo: 0.669 0.831 0.500
Mo: 0.831 0.331 0.500
Mo: 0.331 0.169 0.500
Co: 0.376 0.876 0.000
Co: 0.876 0.624 0.000
Co: 0.624 0.124 0.000
Co: 0.124 0.376 0.000
Zr: 0.000 0.000 0.000
Zr: 0.500 0.500 0.000

Computed properties:
Volume in A^3/atom: 14.8
Energy of formation from the pure elements in meV per atom: 70.2
Symmetry: P4/mbm (127)
Energy above the lowest structure with this stoichiometry in meV per atom: 0.0

***

8.
A plane-wave DFT calculation with PBE was carried out for a relaxed ZrCo2Mo crystal.

Cell: 4.693 4.693 4.702 Å, 79.96 79.96 34.94°
Atoms (fractional coordinates):
Co: 0.984 0.984 0.993
Co: 0.258 0.258 0.283
Mo: 0.518 0.518 0.433
Zr: 0.741 0.741 0.792

Computed properties:
Volume in A^3/atom: 14.6
Energy of formation from the pure elements in meV per atom: 71.3
Symmetry: Cm (8)
Energy above the lowest structure with this stoichiometry in meV per atom: 127.7

***

9.
A plane-wave DFT calculation with PBE was carried out for a relaxed Zr2CoMo crystal.

Cell: 8.954 8.954 8.954 Å, 20.00 20.00 20.00°
Atoms (fractional coordinates):
Co: 0.492 0.492 0.492
Mo: 0.762 0.762 0.762
Zr: 0.007 0.007 0.007
Zr: 0.239 0.239 0.239

Computed properties:
Volume in A^3/atom: 18.4
Energy of formation from the pure elements in meV per atom: 297.8
Symmetry: R3m (160)

***

10.
A plane-wave DFT calculation with PBE was carried out for a relaxed Zr2CoMo crystal.

Cell: 4.217 2.975 5.698 Å, 80.99 90.00 90.00°
Last column: magnetic moment on the atom in μB.
Atoms (fractional coordinates):
Co: 0.500 0.250 0.250  0.62
Mo: 0.500 0.750 0.750  0.05
Zr: 0.000 0.996 0.006  -0.07
Zr: 0.000 0.504 0.494  -0.07

Computed properties:
Volume in A^3/atom: 17.6
Energy of formation from the pure elements in meV per atom: 132.6
Symmetry: P2/m (10)

***

11.
A plane-wave DFT calculation with PBE was carried out for a relaxed ZrCo5Mo crystal.

Cell: 4.721 7.783 9.767 Å, 90.00 90.00 90.00°
Last column: magnetic moment on the atom in μB.
Atoms (fractional coordinates):
Zr: 0.250 0.255 0.942  -0.12
Zr: 0.750 0.245 0.442  -0.12
Zr: 0.250 0.755 0.558  -0.12
Zr: 0.750 0.745 0.058  -0.12
Co: 0.250 0.596 0.020  0.57
Co: 0.750 0.904 0.520  0.57
Co: 0.250 0.096 0.480  0.57
Co: 0.750 0.404 0.980  0.57
Co: 0.750 0.311 0.747  0.83
Co: 0.250 0.189 0.247  0.83
Co: 0.750 0.811 0.753  0.83
Co: 0.250 0.689 0.253  0.83
Co: 0.250 0.951 0.086  -0.04
Co: 0.750 0.549 0.586  -0.04
Co: 0.250 0.451 0.414  -0.04
Co: 0.750 0.049 0.914  -0.04
Co: 0.996 0.433 0.194  0.53
Co: 0.004 0.067 0.694  0.53
Co: 0.504 0.933 0.306  0.53
Co: 0.496 0.567 0.806  0.53
Co: 0.004 0.567 0.806  0.53
Co: 0.996 0.933 0.306  0.53
Co: 0.496 0.067 0.694  0.53
Co: 0.504 0.433 0.194  0.53
Mo: 0.250 0.865 0.853  -0.19
Mo: 0.750 0.635 0.353  -0.19
Mo: 0.250 0.365 0.647  -0.19
Mo: 0.750 0.135 0.147  -0.19

Computed properties:
Volume in A^3/atom: 12.8
Energy of formation from the pure elements in meV per atom: -140.3
Symmetry: Pnma (62)

***

12.
A plane-wave DFT calculation with PBE was carried out for a relaxed Zr2CoMo crystal.

Cell: 4.630 3.000 5.197 Å, 78.32 90.00 90.00°
Atoms (fractional coordinates):
Co: 0.000 0.533 0.494
Mo: 0.500 0.723 0.759
Zr: 0.000 0.979 0.973
Zr: 0.500 0.265 0.274

Computed properties:
Volume in A^3/atom: 17.7
Energy of formation from the pure elements in meV per atom: 118.2
Symmetry: Pm (6)